VASP calculation (PBE) on a geometry-optimized PmSm2 structure.

Results
- DFT total energy: -15.114 eV/cell
- Energy relative to the elements: 2.20 eV/atom

abc: 9.042 9.042 9.042
angles: 60.00 60.00 60.00
Atoms (fractional coordinates):
Pm: 0.125 0.125 0.125
Pm: 0.875 0.875 0.875
Sm: 0.000 0.000 0.000
Sm: 0.000 0.000 0.500
Sm: 0.000 0.500 0.000
Sm: 0.500 0.000 0.000